The following is a DFT calculation (PBE) of a relaxed Pm3Ga2Si3 crystal. Values from VASP.

Quantum ESPRESSO input file:
```
&SYSTEM
  ibrav = 0, nat = 16, ntyp = 3
/
ATOMIC_SPECIES
Pm 145.00 Pm.upf
Ga 69.72 Ga.upf
Si 28.09 Si.upf
ATOMIC_POSITIONS crystal
Pm 0.059 0.941 0.750
Pm 0.356 0.644 0.593
Pm 0.356 0.644 0.907
Pm 0.644 0.356 0.093
Pm 0.644 0.356 0.407
Pm 0.941 0.059 0.250
Ga 0.356 0.644 0.121
Ga 0.356 0.644 0.379
Ga 0.644 0.356 0.621
Ga 0.644 0.356 0.879
Si 0.074 0.926 0.554
Si 0.074 0.926 0.946
Si 0.214 0.786 0.250
Si 0.786 0.214 0.750
Si 0.926 0.074 0.054
Si 0.926 0.074 0.446
CELL_PARAMETERS angstrom
2.082 -5.504 0.000
2.082 5.504 0.000
0.000 0.000 15.291
```

Output
D(E_F)   0.5472 states/eV/atom
ΔE_f (raw)   -0.6533 eV per atom
Space-group type   Cmcm (63)
Energy relative to the lowest polymorph listed for this composition   0.0 meV/atom